[1]
Entry from Alexandria via LeMat-Bulk: Fe3TcIr after structural relaxation (PBE).

Summary:
Magnetization, μB per formula unit: 5.8
Excess energy over the best structure of this formula in the dataset, eV/atom: 0.000
Energy of formation, eV/atom: 1.62

abc: 4.333 4.333 4.333
angles: 90.00 90.00 90.00
Fractional coordinates of all 5 atoms:
Fe (0.000, 0.000, 0.500)
Fe (0.000, 0.500, 0.000)
Fe (0.500, 0.000, 0.000)
Tc (0.000, 0.000, 0.000)
Ir (0.500, 0.500, 0.500)

---

[2]
Entry from Alexandria via LeMat-Bulk: AsOs2Cl after structural relaxation (PBE).

Summary:
Magnetization, μB per formula unit: 0.0
Excess energy over the best structure of this formula in the dataset, eV/atom: 0.423
Uncorrected formation energy, eV/f.u.: 2.8

abc: 2.973 2.973 24.011
angles: 90.00 90.00 120.00
Fractional coordinates of all 12 atoms:
As (0.000, 0.000, 0.000)
As (0.333, 0.667, 0.667)
As (0.667, 0.333, 0.333)
Os (0.000, 0.000, 0.257)
Os (0.000, 0.000, 0.743)
Os (0.333, 0.667, 0.410)
Os (0.333, 0.667, 0.923)
Os (0.667, 0.333, 0.077)
Os (0.667, 0.333, 0.590)
Cl (0.000, 0.000, 0.500)
Cl (0.333, 0.667, 0.167)
Cl (0.667, 0.333, 0.833)

---

[3]
Entry from Alexandria via LeMat-Bulk: TiTlP2O after structural relaxation (PBE).

Summary:
Magnetization, μB per formula unit: 0.0
Excess energy over the best structure of this formula in the dataset, eV/atom: 1.453
Uncorrected formation energy, eV/f.u.: 4.6

abc: 5.056 5.056 4.068
angles: 90.00 90.00 90.00
Fractional coordinates of all 5 atoms:
Ti (0.000, 0.000, 0.000)
Tl (0.500, 0.500, 0.500)
P (0.000, 0.500, 0.500)
P (0.500, 0.000, 0.500)
O (0.500, 0.500, 0.000)

---

[4]
Entry from Alexandria via LeMat-Bulk: SrTlAg3 after structural relaxation (PBE).

Summary:
Magnetization, μB per formula unit: 0.0
Excess energy over the best structure of this formula in the dataset, eV/atom: 0.000
Energy of formation, eV/atom: -0.12

abc: 6.345 6.363 7.083
angles: 90.00 116.28 90.00
Fractional coordinates of all 10 atoms:
Sr (0.000, 0.000, 0.000)
Sr (0.500, 0.500, 0.000)
Tl (0.374, 0.000, 0.748)
Tl (0.874, 0.500, 0.748)
Ag (0.096, 0.500, 0.193)
Ag (0.480, 0.252, 0.460)
Ag (0.480, 0.748, 0.460)
Ag (0.596, 0.000, 0.193)
Ag (0.980, 0.248, 0.460)
Ag (0.980, 0.752, 0.460)